[1]
# Li2GaPt2

A relaxed Li2GaPt2 crystal (PBE, Alexandria).

For the total energy, the calculation gives -4.375 eV per atom. As for the energy relative to the elements: -0.588 eV/atom. The density of states at the Fermi level comes out at 0.4174 states/eV per atom. Its energy relative to the lowest polymorph listed for this composition is 0.0 meV/atom.

It has space group P4/mbm (No. 127), with a = 6.382 Å, b = 6.382 Å, c = 3.980 Å, α = 90.00°, β = 90.00° and γ = 90.00°. The inequivalent atoms are Li at (0.157, 0.343, 0.000), Ga at (0.000, 0.000, 0.500) and Pt at (0.145, 0.645, 0.500).


[2]
# ScPBr2

A relaxed ScPBr2 crystal (PBE, Alexandria).

For the total energy, the calculation gives -4.077 eV per atom. The density of states at the Fermi level comes out at 0.5696 states/eV per atom. The raw formation energy is -0.306 eV/atom. Its energy relative to the lowest polymorph listed for this composition is 647.1 meV/atom.

It has space group Cmmm (No. 65), with a = 6.350 Å, b = 6.560 Å, c = 4.634 Å, α = 90.00°, β = 90.00° and γ = 90.00°. The inequivalent atoms are Sc at (0.000, 0.000, 0.000), P at (0.000, 0.500, 0.000) and Br at (0.000, 0.231, 0.500).


[3]
# NaLaZrO4

A relaxed NaLaZrO4 crystal (PBE, Alexandria).

For the total energy, the calculation gives -7.887 eV per atom. The density of states at the Fermi level comes out at 0.0000 states/eV per atom. The raw formation energy is -2.940 eV/atom.

It has space group I4mm (No. 107), with a = 4.089 Å, b = 4.089 Å, c = 12.676 Å, α = 90.00°, β = 90.00° and γ = 90.00°. The inequivalent atoms are Na at (0.000, 0.000, 0.000), La at (0.000, 0.000, 0.693), Zr at (0.000, 0.000, 0.353), O at (0.000, 0.000, 0.176), O at (0.000, 0.000, 0.515) and O at (0.000, 0.500, 0.327).


[4]
# LiZn2Cd

A relaxed LiZn2Cd crystal (PBE, Alexandria).

For the total energy, the calculation gives -1.351 eV per atom. As for the energy relative to the elements: -0.006 eV/atom. The density of states at the Fermi level comes out at 0.2372 states/eV per atom.

It has space group R-3m (No. 166, hexagonal axes), with a = 2.8837 Å, b = 2.8837 Å, c = 29.1575 Å, α = 90.00°, β = 90.00° and γ = 120.00°. The inequivalent atoms are Li at (0.0000, 0.0000, 0.0000), Zn at (0.0000, 0.0000, 0.2587) and Cd at (0.0000, 0.0000, 0.5000).


[5]
# Zn2BRuO

A relaxed Zn2BRuO crystal (PBE, Alexandria).

For the total energy, the calculation gives -3.694 eV per atom. The density of states at the Fermi level comes out at 0.8102 states/eV per atom. The raw formation energy is 0.998 eV/atom.

It has space group P4/mmm (No. 123), with a = 4.817 Å, b = 4.817 Å, c = 3.854 Å, α = 90.00°, β = 90.00° and γ = 90.00°. The inequivalent atoms are Zn at (0.000, 0.500, 0.000), B at (0.000, 0.000, 0.500), Ru at (0.000, 0.000, 0.000) and O at (0.500, 0.500, 0.500).


[6]
# KBaEuTl

A relaxed KBaEuTl crystal (PBE, Alexandria).

For the total energy, the calculation gives -3.967 eV per atom. As for the energy relative to the elements: -0.052 eV/atom. The density of states at the Fermi level comes out at 3.2904 states/eV per atom.

It has space group F-43m (No. 216), with a = 8.736 Å, b = 8.736 Å, c = 8.736 Å, α = 90.00°, β = 90.00° and γ = 90.00°. The inequivalent atoms are K at (0.000, 0.000, 0.000), Ba at (0.250, 0.250, 0.750), Eu at (0.250, 0.250, 0.250) and Tl at (0.000, 0.000, 0.500).


[7]
# NbVGaIr

A relaxed NbVGaIr crystal (PBE, Alexandria).

For the total energy, the calculation gives -8.075 eV per atom. As for the energy relative to the elements: -0.306 eV/atom. The density of states at the Fermi level comes out at 0.7477 states/eV per atom.

It has space group F-43m (No. 216), with a = 6.263 Å, b = 6.263 Å, c = 6.263 Å, α = 90.00°, β = 90.00° and γ = 90.00°. The inequivalent atoms are Nb at (0.000, 0.000, 0.000), V at (0.250, 0.250, 0.250), Ga at (0.000, 0.000, 0.500) and Ir at (0.250, 0.250, 0.750).


[8]
# AsHSe2Br

A relaxed AsHSe2Br crystal (PBE, Alexandria).

For the total energy, the calculation gives -1.870 eV per atom. The density of states at the Fermi level comes out at 0.9971 states/eV per atom. Its energy relative to the lowest polymorph listed for this composition is 894.7 meV/atom.

It has space group P4/mmm (No. 123), with a = 5.257 Å, b = 5.257 Å, c = 5.342 Å, α = 90.00°, β = 90.00° and γ = 90.00°. The inequivalent atoms are As at (0.000, 0.000, 0.000), H at (0.500, 0.500, 0.000), Se at (0.000, 0.500, 0.500) and Br at (0.000, 0.000, 0.500).


What did we get for volume? Answer: 162.1 193.1 212.0 210.0 89.4 666.8 245.7 147.6 Å³ per cell, in the order shown.